Record 1
Density functional theory data (PBE) for a relaxed structure of SrOs3S.

Properties
* ρ: 12.69 g/cm³
* E_form (uncorrected): 0.824 eV per atom
* crystal system: cubic
* energy: -7.08 eV/atom
* excess energy over the best structure of this formula in the dataset: 0.00 eV per formula unit

Cell lengths 4.4876, 4.4876, 4.4876 Å; angles 90.00, 90.00, 90.00 degrees
Fractional coordinates of all 5 atoms:
Os 0.0000 0.0000 0.5000
Os 0.5000 0.0000 0.0000
S 0.0000 0.0000 0.0000
Os 0.0000 0.5000 0.0000
Sr 0.5000 0.5000 0.5000

Record 2
Density functional theory data (PBE) for a relaxed structure of Na2SrIrO6.

Properties
* ρ: 4.97 g/cm³
* E_form (uncorrected): -1.331 eV per atom
* crystal system: monoclinic
* energy: -5.62 eV/atom

Cell lengths 5.7108, 5.9759, 8.2643 Å; angles 90.00, 90.06, 90.00 degrees
Fractional coordinates of all 20 atoms:
O 0.3525 0.7334 0.4280
O 0.1475 0.2334 0.0720
O 0.2779 0.6594 0.0439
O 0.7221 0.3406 0.9561
O 0.8935 0.5594 0.2135
Na 0.0072 0.9531 0.2596
O 0.6065 0.0594 0.2865
Ir 0.5000 0.0000 0.5000
O 0.8525 0.7666 0.9280
Na 0.9928 0.0469 0.7404
Na 0.4928 0.4531 0.2404
O 0.6475 0.2666 0.5720
Ir 0.0000 0.5000 0.0000
O 0.7779 0.8406 0.5439
Sr 0.0000 0.5000 0.5000
O 0.2221 0.1594 0.4561
O 0.1065 0.4406 0.7865
Na 0.5072 0.5469 0.7596
O 0.3935 0.9406 0.7135
Sr 0.5000 0.0000 0.0000

Record 3
Density functional theory data (PBE) for a relaxed structure of NaY3Pt8.

Properties
* ρ: 13.59 g/cm³
* crystal system: trigonal
* energy: -6.72 eV/atom

Cell lengths 5.4346, 5.4346, 9.3776 Å; angles 73.16, 73.16, 60.00 degrees
Fractional coordinates of all 12 atoms:
Pt 0.4369 0.4369 0.1842
Pt 0.6876 0.6876 0.9371
Pt 0.1878 0.1878 0.4367
Pt 0.4369 0.9420 0.1842
Pt 0.9375 0.4344 0.6906
Y 0.3779 0.3779 0.8662
Y 0.5059 0.5059 0.4824
Y 0.9935 0.9935 0.0195
Pt 0.4344 0.9375 0.6906
Pt 0.9420 0.4369 0.1842
Pt 0.9375 0.9375 0.6906
Na 0.8721 0.8721 0.3838

Record 4
Density functional theory data (PBE) for a relaxed structure of La2PmCd4.

Properties
* ρ: 6.44 g/cm³
* crystal system: trigonal
* energy: -2.75 eV/atom

Cell lengths 5.4103, 5.4103, 9.4069 Å; angles 73.29, 73.29, 60.00 degrees
Fractional coordinates of all 7 atoms:
Cd 0.3762 0.3762 0.8715
Cd 0.1249 0.1249 0.6253
La 0.7519 0.7519 0.7442
Cd 0.8751 0.8751 0.3747
Cd 0.6238 0.6238 0.1285
La 0.2481 0.2481 0.2558
Pm 0.0000 0.0000 0.0000

Record 5
Density functional theory data (PBE) for a relaxed structure of LiReIrBr2.

Properties
* ρ: 7.09 g/cm³
* E_form (uncorrected): 0.704 eV per atom
* crystal system: tetragonal
* energy: -4.61 eV/atom

Cell lengths 5.1599, 4.7982, 5.1599 Å; angles 90.00, 90.00, 90.00 degrees
Site moments in Bohr magnetons follow the coordinates.
Fractional coordinates of all 5 atoms:
Ir 0.0000 0.5000 0.0000  0.09
Br 0.0000 0.0000 0.5000  0.03
Re 0.0000 0.0000 0.0000  0.93
Li 0.5000 0.5000 0.5000  0.00
Br 0.5000 0.0000 0.0000  0.05

Record 6
Density functional theory data (PBE) for a relaxed structure of La2CeUP4.

Properties
* ρ: 6.46 g/cm³
* crystal system: monoclinic
* energy: -7.47 eV/atom

Cell lengths 4.1175, 7.1493, 7.2109 Å; angles 109.20, 90.00, 90.00 degrees
Site moments in Bohr magnetons follow the coordinates.
Fractional coordinates of all 8 atoms:
P 0.0000 0.2485 0.7677  -0.03
P 0.5000 0.7634 0.7706  -0.05
U 0.0000 0.0000 0.0000  2.00
La 0.5000 0.0000 0.5000  0.02
P 0.0000 0.7515 0.2323  -0.03
P 0.5000 0.2366 0.2294  -0.05
Ce 0.5000 0.5000 0.0000  0.52
La 0.0000 0.5000 0.5000  0.03

Record 7
Density functional theory data (PBE) for a relaxed structure of MnTe2Os.

Properties
* ρ: 11.09 g/cm³
* E_form (uncorrected): 0.548 eV per atom
* crystal system: tetragonal
* energy: -6.12 eV/atom
* excess energy over the best structure of this formula in the dataset: 1.87 eV per formula unit

Cell lengths 4.7531, 4.7526, 3.3158 Å; angles 90.00, 90.00, 90.00 degrees
Site moments in Bohr magnetons follow the coordinates.
Fractional coordinates of all 4 atoms:
Te 0.5000 0.5000 0.0000  -0.06
Mn 0.5000 0.0000 0.5000  3.41
Os 0.0000 0.5000 0.5000  0.12
Te 0.0000 0.0000 0.0000  -0.06

Record 8
Density functional theory data (PBE) for a relaxed structure of Tb2YHoEr6.

Properties
* ρ: 8.30 g/cm³
* crystal system: monoclinic
* energy: -4.65 eV/atom

Cell lengths 9.5007, 8.7169, 8.7169 Å; angles 118.23, 94.04, 94.04 degrees
Fractional coordinates of all 20 atoms:
Er 0.3147 0.9787 0.4281
Tb 0.5437 0.1956 0.3034
Y 0.7500 0.0218 0.9782
Er 0.5566 0.7492 0.1268
Er 0.3805 0.5019 0.2895
Ho 0.7500 0.5914 0.4086
Ho 0.2500 0.4086 0.5914
Er 0.1195 0.7105 0.4981
Er 0.1853 0.5719 0.0213
Er 0.9434 0.8732 0.2508
Er 0.6195 0.4981 0.7105
Er 0.0566 0.1268 0.7492
Y 0.2500 0.9782 0.0218
Er 0.8805 0.2895 0.5019
Er 0.4434 0.2508 0.8732
Tb 0.4563 0.8044 0.6966
Tb 0.9563 0.6966 0.8044
Er 0.8147 0.4281 0.9787
Er 0.6853 0.0213 0.5719
Tb 0.0437 0.3034 0.1956

Record 9
Density functional theory data (PBE) for a relaxed structure of CoTe2Rh.

Properties
* ρ: 8.12 g/cm³
* E_form (uncorrected): -0.053 eV per atom
* crystal system: orthorhombic
* energy: -5.24 eV/atom

Cell lengths 4.8387, 4.3489, 4.3490 Å; angles 68.71, 90.00, 90.00 degrees
Site moments in Bohr magnetons follow the coordinates.
Fractional coordinates of all 4 atoms:
Te 0.5000 0.3706 0.3708  0.00
Co 0.0000 0.5208 0.5204  0.87
Rh 0.5000 0.7286 0.7288  0.05
Te 0.0000 0.8801 0.8799  0.01

Record 10
Density functional theory data (PBE) for a relaxed structure of AcPm2Zn2.

Properties
* ρ: 7.32 g/cm³
* crystal system: orthorhombic
* energy: -3.37 eV/atom

Cell lengths 3.7314, 3.8322, 10.4572 Å; angles 79.44, 90.00, 90.00 degrees
Fractional coordinates of all 5 atoms:
Pm 0.0000 0.1780 0.6440
Ac 0.0000 0.0000 0.0000
Zn 0.5000 0.6009 0.7982
Zn 0.5000 0.3991 0.2018
Pm 0.0000 0.8220 0.3560

Record 11
Density functional theory data (PBE) for a relaxed structure of ZrSi3S.

Properties
* ρ: 3.77 g/cm³
* E_form (uncorrected): 0.516 eV per atom
* crystal system: cubic
* energy: -5.27 eV/atom
* excess energy over the best structure of this formula in the dataset: 0.00 eV per formula unit

Cell lengths 4.5046, 4.5046, 4.5046 Å; angles 90.00, 90.00, 90.00 degrees
Fractional coordinates of all 5 atoms:
Si 0.0000 0.0000 0.5000
Si 0.5000 0.0000 0.0000
Zr 0.5000 0.5000 0.5000
Si 0.0000 0.5000 0.0000
S 0.0000 0.0000 0.0000

Record 12
Density functional theory data (PBE) for a relaxed structure of Rb2TlPbI4.

Properties
* ρ: 4.80 g/cm³
* E_form (uncorrected): -0.902 eV per atom
* crystal system: tetragonal
* energy: -2.68 eV/atom

Cell lengths 7.2539, 7.2539, 8.8186 Å; angles 114.29, 114.29, 90.00 degrees
Site moments in Bohr magnetons follow the coordinates.
Fractional coordinates of all 8 atoms:
I 0.5171 0.0171 0.0342  0.00
Tl 0.5000 0.5000 0.0000  0.00
Pb 0.7500 0.2500 0.5000  0.21
I 0.7445 0.7445 0.4889  0.01
Rb 0.2500 0.7500 0.5000  0.00
I 0.9829 0.4829 0.9658  0.00
Rb 0.0000 0.0000 0.0000  0.00
I 0.2555 0.2555 0.5111  0.01